# YS2Cl

A geometry-optimized YS2Cl structure (GGA-PBE, Alexandria).

Lattice parameters (Å, degrees): 4.456 4.456 10.280 77.48 77.48 90.00
Fractional positions:
S (0.375, 0.195, 0.750)
S (0.875, 0.055, 0.750)
S (0.805, 0.125, 0.250)
Cl (0.250, 0.750, 0.500)
Y (0.750, 0.250, 0.500)
S (0.945, 0.625, 0.250)
Y (0.000, 0.000, 0.000)
Cl (0.500, 0.500, 0.000)

Summary:
The space group is No. 122. For the total energy, the calculation gives -5.31 eV per atom. For the magnetic moment, the calculation gives 0.000 μB per atom. The value obtained for the uncorrected formation energy is -4.680 eV per formula unit.

***

# CrGaAs

A geometry-optimized CrGaAs structure (GGA-PBE, Alexandria).

Lattice parameters (Å, degrees): 5.727 2.986 5.660 90.00 90.00 90.00
Site moments in Bohr magnetons follow the coordinates.
Fractional positions:
As (0.250, 0.000, 0.239)  -0.06
Ga (0.750, 0.000, 0.207)  -0.03
Cr (0.500, 0.500, 0.500)  1.83
As (0.750, 0.000, 0.761)  -0.06
Cr (0.000, 0.500, 0.500)  1.83
Ga (0.250, 0.000, 0.793)  -0.03

Summary:
The space group is No. 51. For the total energy, the calculation gives -5.82 eV per atom. For the magnetic moment, the calculation gives 0.610 μB per atom. The value obtained for the formation energy is -0.05 eV per atom.